[1]
This record from Alexandria via LeMat-Bulk describes Na2GeS3 after structural relaxation. The functional is PBE-GGA.

The density of states at the Fermi level is 0.00 states/eV per atom. Its total energy is -98.84 eV per cell.

abc: 6.9485 15.6024 5.8554
angles: 90.00 113.47 90.00
Last column: nearest neighbours and their distance in Å.
Space group P2_1/c (No. 14)
Symmetry-distinct sites (fractional):
Na 0.0451 0.1690 0.0168 (multiplicity 4)  5 S 2.84-3.05
Na 0.2844 0.5304 0.1637 (multiplicity 4)  6 S 2.85-3.09
Ge 0.4470 0.1716 0.6492 (multiplicity 4)  4 S 2.19-2.30
S 0.1134 0.1435 0.5511 (multiplicity 4)  1 Ge 2.20
S 0.3281 0.5692 0.6703 (multiplicity 4)  1 Ge 2.19
S 0.4829 0.6925 0.1982 (multiplicity 4)  2 Ge 2.28-2.30

=====

[2]
This record from Alexandria via LeMat-Bulk describes CaTbZnNi after structural relaxation. The functional is PBE-GGA.

As for the energy of formation from the pure elements: -0.8 eV/f.u. The density of states at the Fermi level is 0.81 states/eV per atom.

abc: 6.9983 6.9983 6.9983
angles: 90.00 90.00 90.00
Last column: nearest neighbours and their distance in Å.
Space group F-43m (No. 216)
Symmetry-distinct sites (fractional):
Ca 0.0000 0.0000 0.0000 (multiplicity 4)  4 Zn 3.03, 4 Ni 3.03
Tb 0.0000 0.0000 0.5000 (multiplicity 4)  4 Ni 3.03, 4 Zn 3.03
Zn 0.2500 0.2500 0.7500 (multiplicity 4)  4 Tb 3.03, 4 Ca 3.03
Ni 0.2500 0.2500 0.2500 (multiplicity 4)  4 Tb 3.03, 4 Ca 3.03

=====

[3]
This record from Alexandria via LeMat-Bulk describes NaTeN2O after structural relaxation. The functional is PBE-GGA.

The density of states at the Fermi level is 0.41 states/eV per atom. Its total energy is -16.98 eV per cell.

abc: 4.2197 4.2197 4.0048
angles: 90.00 90.00 90.00
Last column: nearest neighbours and their distance in Å.
Space group P4/mmm (No. 123)
Symmetry-distinct sites (fractional):
Na 0.0000 0.0000 0.0000 (multiplicity 1)  2 O 2.00, 4 N 2.11
Te 0.5000 0.5000 0.5000 (multiplicity 1)  8 N 2.91, 4 O 2.98
N 0.0000 0.5000 0.0000 (multiplicity 2)  2 Na 2.11
O 0.0000 0.0000 0.5000 (multiplicity 1)  2 Na 2.00

=====

[4]
This record from Alexandria via LeMat-Bulk describes KTl2CrCd after structural relaxation. The functional is PBE-GGA.

As for the energy of formation from the pure elements: 5.8 eV/f.u. The density of states at the Fermi level is 1.01 states/eV per atom.

abc: 6.2034 6.2034 5.6473
angles: 90.00 90.00 90.00
Last column: nearest neighbours and their distance in Å.
Space group P4/mmm (No. 123)
Symmetry-distinct sites (fractional):
K 0.0000 0.0000 0.0000 (multiplicity 1)  2 Cr 2.82, 4 Tl 3.10
Tl 0.0000 0.5000 0.0000 (multiplicity 2)  2 K 3.10
Cr 0.0000 0.0000 0.5000 (multiplicity 1)  2 K 2.82
Cd 0.5000 0.5000 0.5000 (multiplicity 1)  8 Tl 4.19, 4 Cr 4.39

=====

[5]
This record from Alexandria via LeMat-Bulk describes FeIr6Ru5 after structural relaxation. The functional is PBE-GGA.

As for the energy of formation from the pure elements: -0.3 eV/f.u. The density of states at the Fermi level is 1.01 states/eV per atom.

abc: 3.8306 11.4970 7.6770
angles: 90.00 90.00 90.00
Last column: nearest neighbours and their distance in Å.
Space group Cmmm (No. 65)
Symmetry-distinct sites (fractional):
Fe 0.0000 0.0000 0.0000 (multiplicity 2)  8 Ir 2.71, 4 Ru 2.72
Ir 0.0000 0.1662 0.2495 (multiplicity 8)  7 Ru 2.70-2.71, 1 Fe 2.71, 4 Ir 2.71-2.72
Ir 0.0000 0.5000 0.2493 (multiplicity 4)  4 Ir 2.71, 2 Fe 2.71, 6 Ru 2.72-2.73
Ru 0.0000 0.0000 0.5000 (multiplicity 2)  8 Ir 2.71-2.72, 4 Ru 2.72
Ru 0.0000 0.3322 0.0000 (multiplicity 4)  2 Ru 2.69, 8 Ir 2.70-2.72, 2 Fe 2.72
Ru 0.0000 0.3322 0.5000 (multiplicity 4)  4 Ru 2.69-2.72, 8 Ir 2.71-2.73

=====

[6]
This record from Alexandria via LeMat-Bulk describes Pu2TiSn after structural relaxation. The functional is PBE-GGA.

As for the energy of formation from the pure elements: -0.7 eV/f.u. The density of states at the Fermi level is 2.52 states/eV per atom.

abc: 4.3189 4.3189 4.7980
angles: 90.00 90.00 90.00
Last column: nearest neighbours and their distance in Å.
Space group P4/mmm (No. 123)
Symmetry-distinct sites (fractional):
Pu 0.0000 0.5000 0.0000 (multiplicity 2)  4 Pu 3.05, 4 Sn 3.23, 4 Ti 3.23
Ti 0.0000 0.0000 0.5000 (multiplicity 1)  4 Sn 3.05, 8 Pu 3.23
Sn 0.5000 0.5000 0.5000 (multiplicity 1)  4 Ti 3.05, 8 Pu 3.23

=====

[7]
This record from Alexandria via LeMat-Bulk describes YHoMn after structural relaxation. The functional is PBE-GGA.

As for the energy of formation from the pure elements: 0.4 eV/f.u. The density of states at the Fermi level is 1.44 states/eV per atom.

abc: 3.4828 3.4828 12.6811
angles: 90.00 90.00 90.00
Last column: nearest neighbours and their distance in Å.
Space group I4mm (No. 107)
Symmetry-distinct sites (fractional):
Y 0.0000 0.0000 0.0000 (multiplicity 2)  4 Mn 3.03
Ho 0.0000 0.0000 0.7266 (multiplicity 2)  4 Mn 3.00
Mn 0.0000 0.0000 0.3610 (multiplicity 2)  4 Ho 3.00, 4 Y 3.03

=====

[8]
This record from Alexandria via LeMat-Bulk describes V2RuS5 after structural relaxation. The functional is PBE-GGA.

The density of states at the Fermi level is 0.60 states/eV per atom. Its total energy is -205.49 eV per cell.

abc: 4.3132 12.3284 12.4543
angles: 90.00 90.00 90.00
Last column: nearest neighbours and their distance in Å.
Space group Fmmm (No. 69)
Symmetry-distinct sites (fractional):
V 0.0000 0.0000 0.1896 (multiplicity 8)  7 S 2.36-2.63, 2 V 2.63
Ru 0.0000 0.0000 0.5000 (multiplicity 4)  2 S 2.16
S 0.0000 0.0000 0.0000 (multiplicity 4)  2 Ru 2.16, 2 V 2.36
S 0.0000 0.1184 0.3383 (multiplicity 16)  3 V 2.36-2.63, 1 Ru 2.49

=====

[9]
This record from Alexandria via LeMat-Bulk describes Sr2LiGaCl after structural relaxation. The functional is PBE-GGA.

The density of states at the Fermi level is 0.74 states/eV per atom. Its total energy is -12.32 eV per cell.

abc: 6.0409 6.0409 4.4807
angles: 90.00 90.00 90.00
Last column: nearest neighbours and their distance in Å.
Space group P4/mmm (No. 123)
Symmetry-distinct sites (fractional):
Sr 0.0000 0.5000 0.0000 (multiplicity 2)  2 Li 3.02
Li 0.0000 0.0000 0.0000 (multiplicity 1)  2 Ga 2.24
Ga 0.0000 0.0000 0.5000 (multiplicity 1)  2 Li 2.24
Cl 0.5000 0.5000 0.5000 (multiplicity 1)  8 Sr 3.76

=====

[10]
This record from Alexandria via LeMat-Bulk describes Tb4NiOs after structural relaxation. The functional is PBE-GGA.

As for the energy of formation from the pure elements: -1.1 eV/f.u. The density of states at the Fermi level is 0.70 states/eV per atom.

abc: 6.7911 6.8444 6.8106
angles: 90.00 90.17 90.00
Last column: nearest neighbours and their distance in Å.
Space group P2_1/c (No. 14)
Symmetry-distinct sites (fractional):
Tb 0.1640 0.1616 0.3385 (multiplicity 4)  1 Ni 2.76, 2 Os 2.79-2.80
Tb 0.3332 0.6666 0.3357 (multiplicity 4)  1 Os 2.77, 2 Ni 2.78-2.80
Ni 0.5000 0.0000 0.5000 (multiplicity 2)  6 Tb 2.76-2.80
Os 0.0000 0.0000 0.0000 (multiplicity 2)  6 Tb 2.77-2.80

=====

[11]
This record from Alexandria via LeMat-Bulk describes KTl2H8 after structural relaxation. The functional is PBE-GGA.

The density of states at the Fermi level is 0.03 states/eV per atom. Its total energy is -29.94 eV per cell.

abc: 3.6938 6.7397 7.8968
angles: 75.57 77.04 75.69
Last column: nearest neighbours and their distance in Å.
Space group P-1 (No. 2)
Symmetry-distinct sites (fractional):
K 0.0000 0.0000 0.0000 (multiplicity 1)  6 H 2.54-2.62
Tl 0.4020 0.5081 0.7123 (multiplicity 2)  4 H 1.81-1.98
H 0.0137 0.9415 0.5061 (multiplicity 2)  1 H 0.75
H 0.0860 0.4349 0.3717 (multiplicity 2)  2 Tl 1.96-1.98
H 0.2442 0.6650 0.8805 (multiplicity 2)  1 Tl 1.81
H 0.4825 0.2269 0.8131 (multiplicity 2)  1 Tl 1.84

=====

[12]
This record from Alexandria via LeMat-Bulk describes PaTaTiIn after structural relaxation. The functional is PBE-GGA.

As for the energy of formation from the pure elements: 0.5 eV/f.u. The density of states at the Fermi level is 1.50 states/eV per atom.

abc: 6.8649 6.8649 6.8649
angles: 90.00 90.00 90.00
Last column: nearest neighbours and their distance in Å.
Space group F-43m (No. 216)
Symmetry-distinct sites (fractional):
Pa 0.0000 0.0000 0.0000 (multiplicity 4)  4 Ta 2.97, 4 Ti 2.97
Ta 0.2500 0.2500 0.2500 (multiplicity 4)  4 In 2.97, 4 Pa 2.97
Ti 0.2500 0.2500 0.7500 (multiplicity 4)  4 In 2.97, 4 Pa 2.97
In 0.0000 0.0000 0.5000 (multiplicity 4)  4 Ti 2.97, 4 Ta 2.97